This record from the Alexandria database describes Ca2La at its PBEsol-relaxed geometry. The functional is SCAN.

Values from the calculation:
* density of states at the Fermi level: 3.97 states/eV per cell
* E_form: 0.10 eV per atom
* energy above the lowest structure with this stoichiometry: 0.0464 eV per atom
* calculated volume: 37.72 Å³/atom
* final energy: -62.1 eV per cell

Unit cell a=3.5770 b=6.0438 c=6.0438 alpha=120.00 beta=90.00 gamma=90.00
Closest atoms and distances in Å follow each position.
Positions (direct):
Ca1 0.5000 0.6667 0.3333  5 Ca 3.49-3.58
Ca2 0.5000 0.3333 0.6667  5 Ca 3.49-3.58
La1 0.0000 0.0000 0.0000  2 La 3.58, 12 Ca 3.92

This record from the Alexandria database describes Ca2La at its PBEsol-relaxed geometry. The functional is SCAN.

Values from the calculation:
* density of states at the Fermi level: 7.39 states/eV per cell
* E_form: 0.08 eV per atom
* energy above the lowest structure with this stoichiometry: 0.0324 eV per atom
* calculated volume: 37.97 Å³/atom
* final energy: -124.4 eV per cell

Unit cell a=3.6549 b=6.1606 c=10.2823 alpha=90.00 beta=100.24 gamma=90.00
Closest atoms and distances in Å follow each position.
Positions (direct):
Ca1 0.7816 0.7500 0.5632  8 Ca 3.65-3.83, 4 La 3.73-3.85
Ca2 0.4481 0.7500 0.8962  6 Ca 3.65-3.83, 6 La 3.80-3.83
Ca3 0.2184 0.2500 0.4368  8 Ca 3.65-3.83, 4 La 3.73-3.85
Ca4 0.5519 0.2500 0.1038  6 Ca 3.65-3.83, 6 La 3.80-3.83
La1 0.1142 0.7500 0.2285  2 La 3.65, 10 Ca 3.73-3.85
La2 0.8858 0.2500 0.7715  2 La 3.65, 10 Ca 3.73-3.85

This record from the Alexandria database describes CaLa at its PBEsol-relaxed geometry. The functional is SCAN.

Values from the calculation:
* density of states at the Fermi level: 3.82 states/eV per cell
* E_form: 0.11 eV per atom
* energy above the lowest structure with this stoichiometry: 0.0857 eV per atom
* calculated volume: 37.39 Å³/atom
* final energy: -105.1 eV per cell

Unit cell a=5.9583 b=5.9583 c=5.9583 alpha=60.00 beta=60.00 gamma=60.00
Closest atoms and distances in Å follow each position.
Positions (direct):
Ca1 0.2500 0.2500 0.2500  4 La 3.65, 4 Ca 3.65
Ca2 0.0000 0.0000 0.0000  4 La 3.65, 4 Ca 3.65
La1 0.5000 0.5000 0.5000  4 La 3.65, 4 Ca 3.65
La2 0.7500 0.7500 0.7500  4 Ca 3.65, 4 La 3.65

This record from the Alexandria database describes Ca3La at its PBEsol-relaxed geometry. The functional is SCAN.

Values from the calculation:
* density of states at the Fermi level: 16.08 states/eV per cell
* E_form: 0.05 eV per atom
* energy above the lowest structure with this stoichiometry: 0.0226 eV per atom
* calculated volume: 38.66 Å³/atom
* final energy: -287.5 eV per cell

Unit cell a=6.5040 b=7.6662 c=12.4051 alpha=90.00 beta=90.00 gamma=90.00
Closest atoms and distances in Å follow each position.
Positions (direct):
Ca1 0.9116 0.1257 0.2500  4 La 3.67-4.00, 8 Ca 3.77-3.81
Ca2 0.5884 0.6257 0.7500  4 La 3.67-4.00, 8 Ca 3.77-3.81
Ca3 0.4116 0.3743 0.2500  4 La 3.67-4.00, 8 Ca 3.77-3.81
Ca4 0.0884 0.8743 0.7500  4 La 3.67-4.00, 8 Ca 3.77-3.81
Ca5 0.2492 0.6187 0.9998  9 Ca 3.72-3.83, 3 La 3.75-3.87
Ca6 0.2508 0.1187 0.0002  9 Ca 3.72-3.83, 3 La 3.75-3.87
Ca7 0.7492 0.8813 0.5002  9 Ca 3.72-3.83, 3 La 3.75-3.87
Ca8 0.7508 0.3813 0.4998  9 Ca 3.72-3.83, 3 La 3.75-3.87
Ca9 0.7508 0.3813 0.0002  9 Ca 3.72-3.83, 3 La 3.75-3.87
Ca10 0.7492 0.8813 0.9998  9 Ca 3.72-3.83, 3 La 3.75-3.87
Ca11 0.2508 0.1187 0.4998  9 Ca 3.72-3.83, 3 La 3.75-3.87
Ca12 0.2492 0.6187 0.5002  9 Ca 3.72-3.83, 3 La 3.75-3.87
La1 0.9189 0.6468 0.2500  2 La 3.62, 10 Ca 3.67-4.00
La2 0.5811 0.1468 0.7500  2 La 3.62, 10 Ca 3.67-4.00
La3 0.4189 0.8532 0.2500  2 La 3.62, 10 Ca 3.67-4.00
La4 0.0811 0.3532 0.7500  2 La 3.62, 10 Ca 3.67-4.00

This record from the Alexandria database describes CaLa at its PBEsol-relaxed geometry. The functional is SCAN.

Values from the calculation:
* density of states at the Fermi level: 9.47 states/eV per cell
* E_form: 0.05 eV per atom
* energy above the lowest structure with this stoichiometry: 0.0206 eV per atom
* calculated volume: 36.47 Å³/atom
* final energy: -210.7 eV per cell

Unit cell a=3.6896 b=5.9340 c=13.3269 alpha=90.00 beta=90.00 gamma=90.00
Closest atoms and distances in Å follow each position.
Positions (direct):
Ca1 0.7500 0.7606 0.2055  6 Ca 3.69, 6 La 3.72-3.89
Ca2 0.2500 0.2606 0.2945  6 Ca 3.69, 6 La 3.72-3.89
Ca3 0.7500 0.7394 0.7055  6 Ca 3.69, 6 La 3.72-3.89
Ca4 0.2500 0.2394 0.7945  6 Ca 3.69, 6 La 3.72-3.89
La1 0.7500 0.2613 0.0372  6 La 3.52-3.74, 6 Ca 3.72-3.89
La2 0.2500 0.7613 0.4628  6 La 3.52-3.74, 6 Ca 3.72-3.89
La3 0.7500 0.2387 0.5372  6 La 3.52-3.74, 6 Ca 3.72-3.89
La4 0.2500 0.7387 0.9628  6 La 3.52-3.74, 6 Ca 3.72-3.89

This record from the Alexandria database describes CaLa5 at its PBEsol-relaxed geometry. The functional is SCAN.

Values from the calculation:
* density of states at the Fermi level: 8.77 states/eV per cell
* E_form: 0.05 eV per atom
* energy above the lowest structure with this stoichiometry: 0.0266 eV per atom
* calculated volume: 35.25 Å³/atom
* final energy: -224.9 eV per cell

Unit cell a=3.6622 b=5.9905 c=9.8134 alpha=90.00 beta=100.75 gamma=90.00
Closest atoms and distances in Å follow each position.
Positions (direct):
Ca1 0.0015 0.0000 0.0030  2 Ca 3.66, 10 La 3.69-3.85
La1 0.3257 0.0000 0.6513  10 La 3.47-3.68, 2 Ca 3.85
La2 0.6725 0.0000 0.3451  10 La 3.47-3.69, 2 Ca 3.77
La3 0.4369 0.5000 0.8738  8 La 3.48-3.86, 4 Ca 3.73
La4 0.7836 0.5000 0.5673  12 La 3.48-3.76
La5 0.1131 0.5000 0.2261  10 La 3.66-3.86, 2 Ca 3.69